(1)
# CuP2Os

A relaxed CuP2Os crystal (PBE, Alexandria).

Calculated values
The calculated density comes out at 9.60 g/cm³. The energy relative to the elements comes out at 0.276 eV/f.u. For the raw total energy, the calculation gives -6.467 eV per atom. Its symmetry is R-3m, No. 166. Its volume is 54.6 Å³ per cell. The distance to the lowest polymorph of the same formula comes out at 117 meV per atom. The value obtained for the total magnetization is 0.00 μB per cell.

Lattice parameters (Å, degrees): 7.417 7.417 7.417 22.98 22.98 22.98
Positions (direct):
Cu 0.000 0.000 0.000
P 0.249 0.249 0.249
P 0.751 0.751 0.751
Os 0.500 0.500 0.500

***

(2)
# CuP2Os

A relaxed CuP2Os crystal (PBE, Alexandria).

Calculated values
The calculated density comes out at 9.10 g/cm³. The energy relative to the elements comes out at 0.288 eV/f.u. For the raw total energy, the calculation gives -6.464 eV per atom. Its symmetry is Pm, No. 6. Its volume is 57.6 Å³ per cell. The distance to the lowest polymorph of the same formula comes out at 120 meV per atom. The value obtained for the total magnetization is 0.00 μB per cell.

Lattice parameters (Å, degrees): 3.033 4.693 4.162 90.00 103.44 90.00
Positions (direct):
Cu 0.000 0.000 0.000
P 0.405 0.000 0.544
P 0.958 0.500 0.253
Os 0.607 0.500 0.684

***

(3)
# CuPOs2

A relaxed CuPOs2 crystal (PBE, Alexandria).

Calculated values
The calculated density comes out at 14.37 g/cm³. The energy relative to the elements comes out at 0.720 eV/f.u. For the raw total energy, the calculation gives -7.811 eV per atom. Its symmetry is Immm, No. 71. Its volume is 54.9 Å³ per cell. The value obtained for the total magnetization is 0.00 μB per cell.

Lattice parameters (Å, degrees): 5.183 5.183 5.183 148.33 130.73 59.76
Positions (direct):
Cu 0.000 0.000 0.000
P 0.500 0.500 0.000
Os 0.294 0.794 0.500
Os 0.706 0.206 0.500

***

(4)
# CuP2Os

A relaxed CuP2Os crystal (PBE, Alexandria).

Calculated values
The calculated density comes out at 9.03 g/cm³. The energy relative to the elements comes out at 0.806 eV/f.u. For the raw total energy, the calculation gives -6.335 eV per atom. Its symmetry is P2/m, No. 10. Its volume is 58.1 Å³ per cell. The distance to the lowest polymorph of the same formula comes out at 250 meV per atom. The value obtained for the total magnetization is 0.00 μB per cell.

Lattice parameters (Å, degrees): 3.159 3.937 4.670 90.00 90.17 90.00
Positions (direct):
Cu 0.000 0.000 0.000
P 0.499 0.500 0.226
P 0.501 0.500 0.774
Os 0.500 0.000 0.500